[1]
KSc2Ir | PBE-GGA | optimized geometry

Properties
- Calculated formation energy: -0.1094 eV/atom

a = 3.6925 Å, b = 3.6974 Å, c = 8.6000 Å
α = 90.00°, β = 90.00°, γ = 90.00°
Closest atoms and distances in Å follow each position.
Element x y z (fractional)
1 Ir 0.0000 0.0000 0.3791  5 Sc 2.49-2.67
2 Sc 0.5000 0.5000 0.3173  4 Ir 2.67
3 K 0.5000 0.5000 0.7142  1 Sc 3.41, 4 K 3.69-3.70
4 Sc 0.0000 0.0000 0.0895  1 Ir 2.49

---

[2]
Hg2GeSb2Pb4 | PBE-GGA | optimized geometry

Properties
- Energy relative to the elements, uncorrected: 107 meV/atom

a = 6.1143 Å, b = 6.9241 Å, c = 6.9241 Å
α = 67.94°, β = 84.74°, γ = 84.74°
Closest atoms and distances in Å follow each position.
Element x y z (fractional)
1 Hg 0.2747 0.6259 0.6259  1 Sb 3.23, 6 Pb 3.37-3.57
2 Pb 0.2514 0.6179 0.1453  1 Ge 2.96, 2 Sb 3.17-3.24
3 Sb 0.1259 0.1653 0.1653  1 Ge 2.81
4 Hg 0.7253 0.3741 0.3741  1 Sb 3.23, 6 Pb 3.37-3.57
5 Sb 0.8741 0.8347 0.8347  1 Ge 2.81
6 Pb 0.7486 0.3821 0.8547  1 Ge 2.96, 2 Sb 3.17-3.24
7 Ge 0.5000 0.0000 0.0000  2 Sb 2.81, 4 Pb 2.96
8 Pb 0.7486 0.8547 0.3821  1 Ge 2.96, 2 Sb 3.17-3.24
9 Pb 0.2514 0.1453 0.6179  1 Ge 2.96, 2 Sb 3.17-3.24

---

[3]
Y2Cl | PBE-GGA | optimized geometry

Properties
- Energy relative to the elements, uncorrected: -821 meV/atom

a = 7.4587 Å, b = 7.4587 Å, c = 7.4587 Å
α = 152.55°, β = 151.84°, γ = 39.73°
Closest atoms and distances in Å follow each position.
Element x y z (fractional)
1 Y 0.6635 0.1635 0.5000  2 Cl 2.90
2 Y 0.3365 0.8365 0.5000  2 Cl 2.90
3 Cl 0.5000 0.5000 0.0000  4 Y 2.90

---

[4]
Nd2AgAu3 | PBE-GGA | optimized geometry

Properties
- Calculated formation energy: -0.6414 eV/atom

a = 5.9658 Å, b = 5.9658 Å, c = 9.0229 Å
α = 103.67°, β = 103.67°, γ = 106.57°
Closest atoms and distances in Å follow each position.
Element x y z (fractional)
1 Nd 0.7509 0.7509 0.0000  10 Au 3.28-3.30, 2 Ag 3.29, 2 Nd 3.55-3.58
2 Au 0.1682 0.6639 0.8321  1 Ag 2.74, 2 Au 2.78
3 Au 0.1676 0.1676 0.3352  1 Ag 2.74, 2 Au 2.78
4 Nd 0.7500 0.2500 0.5000  8 Au 3.28, 4 Ag 3.29, 2 Nd 3.57
5 Au 0.8318 0.3361 0.1679  1 Ag 2.74, 2 Au 2.78
6 Au 0.3361 0.8318 0.1679  1 Ag 2.74, 2 Au 2.78
7 Ag 0.6668 0.6668 0.3336  3 Au 2.74
8 Nd 0.2491 0.2491 0.0000  10 Au 3.28-3.30, 2 Ag 3.29, 2 Nd 3.55-3.58
9 Nd 0.2500 0.7500 0.5000  8 Au 3.28, 4 Ag 3.29, 2 Nd 3.57
10 Ag 0.3332 0.3332 0.6664  3 Au 2.74
11 Au 0.6639 0.1682 0.8321  1 Ag 2.74, 2 Au 2.78
12 Au 0.8324 0.8324 0.6648  1 Ag 2.74, 2 Au 2.78

---

[5]
TbPmTcO6 | PBE-GGA | optimized geometry

Properties
- Energy relative to the elements, uncorrected: -2484 meV/atom

a = 5.5369 Å, b = 5.5369 Å, c = 9.7926 Å
α = 90.00°, β = 90.00°, γ = 120.00°
Closest atoms and distances in Å follow each position.
Element x y z (fractional)
1 O 0.0449 0.6701 0.8618  1 Tc 1.94
2 O 0.3299 0.3748 0.8618  1 Tc 1.94
3 O 0.6252 0.6701 0.6382  1 Tc 1.94
4 Tc 0.6667 0.3333 0.2500  6 O 1.94
5 O 0.6701 0.0449 0.3618  1 Tc 1.94
6 Tb 0.3333 0.6667 0.2500  6 O 2.27
7 O 0.3748 0.0449 0.1382  1 Tc 1.94
8 Pm 0.0000 0.0000 0.0000  6 O 2.38
9 Tb 0.6667 0.3333 0.7500  6 O 2.27
10 O 0.6252 0.9551 0.8618  1 Tc 1.94
11 O 0.3299 0.9551 0.6382  1 Tc 1.94
12 Pm 0.0000 0.0000 0.5000  6 O 2.38
13 Tc 0.3333 0.6667 0.7500  6 O 1.94
14 O 0.3748 0.3299 0.3618  1 Tc 1.94
15 O 0.9551 0.3299 0.1382  1 Tc 1.94
16 O 0.6701 0.6252 0.1382  1 Tc 1.94
17 O 0.0449 0.3748 0.6382  1 Tc 1.94
18 O 0.9551 0.6252 0.3618  1 Tc 1.94

---

[6]
KInIrCl | PBE-GGA | optimized geometry

Properties
- Energy relative to the elements, uncorrected: -416 meV/atom

a = 3.4994 Å, b = 3.4994 Å, c = 16.2117 Å
α = 90.00°, β = 90.00°, γ = 90.00°
Closest atoms and distances in Å follow each position.
Element x y z (fractional)
1 K 0.0000 0.0000 0.1950  4 Cl 3.04
2 K 0.5000 0.5000 0.6950  4 Cl 3.04
3 Cl 0.0000 0.0000 0.5859  1 In 2.61
4 In 0.5000 0.5000 0.9249  1 Cl 2.61, 4 Ir 2.70
5 Ir 0.5000 0.5000 0.3590  4 In 2.70
6 In 0.0000 0.0000 0.4249  1 Cl 2.61, 4 Ir 2.70
7 Cl 0.5000 0.5000 0.0859  1 In 2.61
8 Ir 0.0000 0.0000 0.8590  4 In 2.70

---

[7]
PaZn2Ge | PBE-GGA | optimized geometry

Properties
- Calculated formation energy: 0.0614 eV/atom

a = 4.7505 Å, b = 4.7505 Å, c = 4.7514 Å
α = 60.01°, β = 60.01°, γ = 60.00°
Closest atoms and distances in Å follow each position.
Element x y z (fractional)
1 Ge 0.0000 0.0000 0.0000  8 Zn 2.91
2 Pa 0.5000 0.5000 0.5000  8 Zn 2.91
3 Zn 0.7499 0.7499 0.7502  4 Ge 2.91, 4 Pa 2.91
4 Zn 0.2501 0.2501 0.2498  4 Ge 2.91, 4 Pa 2.91

---

[8]
LiSnPb | PBE-GGA | optimized geometry

Properties
- Calculated formation energy: -0.1293 eV/atom

a = 3.4417 Å, b = 5.1285 Å, c = 5.1285 Å
α = 120.00°, β = 90.00°, γ = 90.00°
Closest atoms and distances in Å follow each position.
Element x y z (fractional)
1 Sn 0.9830 0.0000 0.0000  3 Li 3.10, 3 Pb 3.16, 2 Sn 3.44
2 Li 0.7142 0.6667 0.3333  3 Sn 3.10, 3 Pb 3.28, 2 Li 3.44
3 Pb 0.3028 0.3333 0.6667  3 Sn 3.16, 3 Li 3.28, 2 Pb 3.44

---

[9]
LaNdDy | PBE-GGA | optimized geometry

Properties
- Calculated formation energy: 0.0197 eV/atom

a = 3.6543 Å, b = 3.6543 Å, c = 8.9727 Å
α = 90.00°, β = 90.00°, γ = 120.00°
Closest atoms and distances in Å follow each position.
Element x y z (fractional)
1 La 0.3333 0.6667 0.6617  3 Dy 3.64, 6 La 3.65, 3 Nd 3.75
2 Nd 0.0000 0.0000 0.0071  3 Dy 3.59, 6 Nd 3.65, 3 La 3.75
3 Dy 0.6667 0.3333 0.3312  3 Nd 3.59, 3 La 3.64, 6 Dy 3.65

---

[10]
PmHoAgOs | PBE-GGA | optimized geometry

Properties
- Calculated formation energy: -0.2032 eV/atom

a = 5.0035 Å, b = 5.0035 Å, c = 5.0035 Å
α = 60.00°, β = 60.00°, γ = 60.00°
Closest atoms and distances in Å follow each position.
Element x y z (fractional)
1 Pm 0.5000 0.5000 0.5000  4 Os 3.06, 4 Ag 3.06
2 Ag 0.2500 0.2500 0.2500  4 Pm 3.06, 4 Ho 3.06
3 Os 0.7500 0.7500 0.7500  4 Pm 3.06, 4 Ho 3.06
4 Ho 0.0000 0.0000 0.0000  4 Os 3.06, 4 Ag 3.06

---

[11]
GaFe3Pd | PBE-GGA | optimized geometry

Properties
- Calculated formation energy: 1.0044 eV/atom

a = 4.4721 Å, b = 4.4721 Å, c = 4.4721 Å
α = 90.00°, β = 90.00°, γ = 90.00°
Closest atoms and distances in Å follow each position.
Element x y z (fractional)
1 Pd 0.5000 0.5000 0.5000  12 Fe 3.16
2 Fe 0.0000 0.0000 0.5000  2 Ga 2.24
3 Fe 0.5000 0.0000 0.0000  2 Ga 2.24
4 Fe 0.0000 0.5000 0.0000  2 Ga 2.24
5 Ga 0.0000 0.0000 0.0000  6 Fe 2.24

---

[12]
Pm5Y4Ho | PBE-GGA | optimized geometry

Properties
- Calculated formation energy: 0.1611 eV/atom

a = 3.5954 Å, b = 10.5280 Å, c = 9.2880 Å
α = 84.08°, β = 101.15°, γ = 90.01°
Closest atoms and distances in Å follow each position.
Element x y z (fractional)
1 Y 0.3180 0.9121 0.6348  6 Y 3.36-3.60, 1 Ho 3.55, 1 Pm 3.66
2 Pm 0.5000 0.5000 0.0000  4 Y 3.32, 2 Pm 3.60
3 Y 0.9561 0.7617 0.9114  2 Ho 3.25-3.26, 4 Pm 3.32-3.42, 4 Y 3.36-3.60
4 Y 0.0439 0.2383 0.0886  2 Ho 3.25-3.26, 4 Pm 3.32-3.42, 4 Y 3.36-3.60
5 Pm 0.8105 0.5941 0.6225  1 Y 3.32, 4 Pm 3.60-3.62
6 Pm 0.1408 0.7691 0.2858  2 Y 3.42-3.66, 3 Pm 3.60-3.83, 2 Ho 3.82
7 Pm 0.8592 0.2309 0.7142  2 Y 3.42-3.66, 3 Pm 3.60-3.83, 2 Ho 3.82
8 Pm 0.1895 0.4059 0.3775  1 Y 3.32, 4 Pm 3.60-3.62
9 Ho 0.5000 0.0000 0.0000  6 Y 3.25-3.55, 2 Ho 3.60
10 Y 0.6820 0.0879 0.3652  6 Y 3.36-3.60, 1 Ho 3.55, 1 Pm 3.66

---

[13]
NiSbPt | PBE-GGA | optimized geometry

Properties
- Energy relative to the elements, uncorrected: -160 meV/atom

a = 3.5418 Å, b = 3.5418 Å, c = 4.6571 Å
α = 112.35°, β = 112.35°, γ = 90.00°
Closest atoms and distances in Å follow each position.
Element x y z (fractional)
1 Ni 0.2898 0.2898 0.5796  1 Sb 2.54, 5 Pt 2.69-2.79
2 Sb 0.6128 0.6128 0.2256  1 Ni 2.54, 5 Pt 2.63-2.82
3 Pt 0.9474 0.9474 0.8947  5 Sb 2.63-2.82, 5 Ni 2.69-2.79

---

[14]
Nd6Ge2Sb3Te | PBE-GGA | optimized geometry

Properties
- Energy relative to the elements, uncorrected: -1097 meV/atom

a = 4.4309 Å, b = 8.9308 Å, c = 9.9459 Å
α = 102.90°, β = 102.87°, γ = 90.00°
Closest atoms and distances in Å follow each position.
Element x y z (fractional)
1 Nd 0.3300 0.4236 0.6601  3 Ge 3.07-3.09, 3 Sb 3.21
2 Nd 0.6691 0.0957 0.3383  2 Ge 3.07, 3 Sb 3.17-3.21, 1 Te 3.19
3 Nd 0.6700 0.5764 0.3399  3 Ge 3.07-3.09, 3 Sb 3.21
4 Nd 0.3309 0.9043 0.6617  2 Ge 3.07, 3 Sb 3.17-3.21, 1 Te 3.19
5 Sb 0.1630 0.8330 0.3260  6 Nd 3.17-3.21
6 Ge 0.1672 0.3335 0.3344  6 Nd 3.03-3.09
7 Nd 0.0064 0.2579 0.0129  1 Ge 3.03, 3 Sb 3.12-3.20, 2 Te 3.18
8 Ge 0.8328 0.6665 0.6656  6 Nd 3.03-3.09
9 Sb 0.8370 0.1670 0.6740  6 Nd 3.17-3.21
10 Sb 0.5000 0.5000 0.0000  6 Nd 3.12-3.21
11 Nd 0.9936 0.7421 0.9871  1 Ge 3.03, 3 Sb 3.12-3.20, 2 Te 3.18
12 Te 0.5000 0.0000 0.0000  6 Nd 3.18-3.19

---

[15]
CePuTlRh | PBE-GGA | optimized geometry

Properties
- Calculated formation energy: -0.3620 eV/atom

a = 3.3874 Å, b = 3.3874 Å, c = 8.4969 Å
α = 90.00°, β = 90.00°, γ = 90.00°
Closest atoms and distances in Å follow each position.
Element x y z (fractional)
1 Pu 0.5000 0.5000 0.3614  4 Rh 3.00
2 Tl 0.0000 0.0000 0.0731  4 Tl 3.39, 4 Pu 3.43, 4 Ce 3.48
3 Ce 0.5000 0.5000 0.7762  4 Rh 2.95
4 Rh 0.0000 0.0000 0.5739  4 Ce 2.95, 4 Pu 3.00

---

[16]
TlBrO2 | PBE-GGA | optimized geometry

Properties
- Energy relative to the elements, uncorrected: -344 meV/atom

a = 7.5622 Å, b = 8.3962 Å, c = 3.6357 Å
α = 77.34°, β = 118.52°, γ = 46.10°
Closest atoms and distances in Å follow each position.
Element x y z (fractional)
1 Br 0.2159 0.1945 0.0873  2 O 2.09
2 Tl 0.7159 0.1945 0.0873  6 O 2.35-2.36
3 O 0.7678 0.9731 0.7517  1 Br 2.09
4 O 0.6640 0.4160 0.4229  1 Br 2.09

---

[17]
CsNaNiS2 | PBE-GGA | optimized geometry

Properties
- Energy relative to the elements, uncorrected: -760 meV/atom

a = 5.8076 Å, b = 5.5350 Å, c = 7.5733 Å
α = 90.00°, β = 90.00°, γ = 90.00°
Closest atoms and distances in Å follow each position.
Element x y z (fractional)
1 S 0.8320 0.2500 0.1964  2 Ni 2.25
2 Na 0.5787 0.7500 0.0000  2 S 2.81, 2 Ni 2.81, 2 Na 2.91
3 S 0.1680 0.7500 0.8036  2 Ni 2.25
4 Cs 0.7386 0.7500 0.5000  6 S 3.39-3.64
5 Na 0.4213 0.2500 0.0000  2 S 2.81, 2 Ni 2.81, 2 Na 2.91
6 S 0.8320 0.2500 0.8036  2 Ni 2.25
7 Cs 0.2614 0.2500 0.5000  6 S 3.39-3.64
8 S 0.1680 0.7500 0.1964  2 Ni 2.25
9 Ni 0.0000 0.5000 0.0000  4 S 2.25
10 Ni 0.0000 0.0000 0.0000  4 S 2.25

---

[18]
RbUPb2O6 | PBE-GGA | optimized geometry

Properties
- Energy relative to the elements, uncorrected: -1950 meV/atom

a = 6.7414 Å, b = 7.6390 Å, c = 7.6390 Å
α = 95.68°, β = 94.18°, γ = 94.18°
Closest atoms and distances in Å follow each position.
Element x y z (fractional)
1 O 0.6637 0.7189 0.5496  1 U 2.20, 2 Pb 2.32-2.44
2 O 0.1637 0.5496 0.7189  1 U 2.20, 2 Pb 2.32-2.44
3 O 0.4698 0.6379 0.1977  1 U 1.98
4 U 0.7500 0.7218 0.2782  6 O 1.98-2.20
5 Rb 0.2500 0.9181 0.0819  6 O 2.86-3.03
6 Pb 0.8104 0.5636 0.7631  4 O 2.20-2.44
7 O 0.3363 0.2811 0.4504  1 U 2.20, 2 Pb 2.32-2.44
8 O 0.9698 0.1977 0.6379  1 U 1.98
9 O 0.8363 0.4504 0.2811  1 U 2.20, 2 Pb 2.32-2.44
10 Pb 0.3104 0.7631 0.5636  4 O 2.20-2.44
11 Pb 0.1896 0.4364 0.2369  4 O 2.20-2.44
12 Pb 0.6896 0.2369 0.4364  4 O 2.20-2.44
13 O 0.6655 0.9846 0.2662  1 U 2.14, 1 Pb 2.20
14 O 0.0302 0.8023 0.3621  1 U 1.98
15 Rb 0.7500 0.0819 0.9181  6 O 2.86-3.03
16 O 0.1655 0.2662 0.9846  1 U 2.14, 1 Pb 2.20
17 U 0.2500 0.2782 0.7218  6 O 1.98-2.20
18 O 0.8345 0.7338 0.0154  1 U 2.14, 1 Pb 2.20
19 O 0.3345 0.0154 0.7338  1 U 2.14, 1 Pb 2.20
20 O 0.5302 0.3621 0.8023  1 U 1.98

---

[19]
ScTcNi | PBE-GGA | optimized geometry

Properties
- Calculated formation energy: 0.0094 eV/atom

a = 4.3503 Å, b = 4.3503 Å, c = 2.8441 Å
α = 90.00°, β = 90.00°, γ = 120.00°
Closest atoms and distances in Å follow each position.
Element x y z (fractional)
1 Tc 0.3333 0.6667 0.8338  3 Ni 2.51
2 Ni 0.0000 0.0000 0.8327  3 Tc 2.51
3 Sc 0.6667 0.3333 0.3336  2 Sc 2.84, 6 Ni 2.88-2.89, 6 Tc 2.89

---

[20]
TaSiSN2 | PBE-GGA | optimized geometry

Properties
- Energy relative to the elements, uncorrected: 309 meV/atom

a = 3.9868 Å, b = 3.9868 Å, c = 5.1028 Å
α = 90.00°, β = 90.00°, γ = 90.00°
Closest atoms and distances in Å follow each position.
Element x y z (fractional)
1 N 0.5000 0.0000 0.0000  2 Ta 1.99
2 S 0.0000 0.0000 0.5000  2 Ta 2.55, 4 Si 2.82
3 N 0.0000 0.5000 0.0000  2 Ta 1.99
4 Si 0.5000 0.5000 0.5000  4 S 2.82
5 Ta 0.0000 0.0000 0.0000  4 N 1.99

---

[21]
PuUGePt | PBE-GGA | optimized geometry

Properties
- Calculated formation energy: -0.3420 eV/atom

a = 4.8510 Å, b = 4.8510 Å, c = 4.8510 Å
α = 60.00°, β = 60.00°, γ = 60.00°
Closest atoms and distances in Å follow each position.
Element x y z (fractional)
1 Pt 0.2500 0.2500 0.2500  4 Ge 2.97, 4 U 2.97
2 Pu 0.7500 0.7500 0.7500  4 U 2.97, 4 Ge 2.97
3 Ge 0.0000 0.0000 0.0000  4 Pu 2.97, 4 Pt 2.97
4 U 0.5000 0.5000 0.5000  4 Pt 2.97, 4 Pu 2.97

---

[22]
Ba2RePb | PBE-GGA | optimized geometry

Properties
- Calculated formation energy: 0.5207 eV/atom

a = 4.7282 Å, b = 5.0198 Å, c = 6.6795 Å
α = 67.91°, β = 90.00°, γ = 90.00°
Closest atoms and distances in Å follow each position.
Element x y z (fractional)
1 Ba 0.5000 0.2669 0.3414  3 Re 3.50-3.75, 4 Pb 3.60
2 Ba 0.0000 0.9810 0.9127  3 Pb 3.54-3.70, 4 Re 3.62
3 Pb 0.0000 0.6827 0.5099  2 Re 2.75
4 Re 0.5000 0.5694 0.7360  2 Pb 2.75

---

[23]
PrScCdAu | PBE-GGA | optimized geometry

Properties
- Calculated formation energy: -0.4612 eV/atom

a = 5.1691 Å, b = 5.1691 Å, c = 5.1691 Å
α = 60.00°, β = 60.00°, γ = 60.00°
Closest atoms and distances in Å follow each position.
Element x y z (fractional)
1 Cd 0.2500 0.2500 0.2500  4 Sc 3.17, 4 Pr 3.17
2 Au 0.7500 0.7500 0.7500  4 Sc 3.17, 4 Pr 3.17
3 Pr 0.0000 0.0000 0.0000  4 Cd 3.17, 4 Au 3.17
4 Sc 0.5000 0.5000 0.5000  4 Au 3.17, 4 Cd 3.17

---

[24]
V2FeS6 | PBE-GGA | optimized geometry

Properties
- Energy relative to the elements, uncorrected: -557 meV/atom

a = 5.5318 Å, b = 5.5318 Å, c = 9.9430 Å
α = 90.00°, β = 90.00°, γ = 90.00°
Closest atoms and distances in Å follow each position.
Element x y z (fractional)
1 S 0.1918 0.8082 0.1685  1 Fe 2.25, 2 V 2.34-2.42
2 V 0.0000 0.0000 0.3493  6 S 2.25-2.42
3 S 0.8082 0.1918 0.1685  1 Fe 2.25, 2 V 2.34-2.42
4 Fe 0.5000 0.5000 0.5000  6 S 2.24-2.25
5 Fe 0.0000 0.0000 0.0000  6 S 2.24-2.25
6 S 0.3082 0.3082 0.6685  1 Fe 2.25, 2 V 2.34-2.42
7 S 0.8082 0.1918 0.8315  1 Fe 2.25, 2 V 2.34-2.42
8 S 0.1918 0.8082 0.8315  1 Fe 2.25, 2 V 2.34-2.42
9 S 0.6918 0.6918 0.3315  1 Fe 2.25, 2 V 2.34-2.42
10 S 0.2137 0.7863 0.5000  1 Fe 2.24, 2 V 2.25
11 S 0.7137 0.7137 0.0000  1 Fe 2.24, 2 V 2.25
12 S 0.2863 0.2863 0.0000  1 Fe 2.24, 2 V 2.25
13 S 0.7863 0.2137 0.5000  1 Fe 2.24, 2 V 2.25
14 V 0.5000 0.5000 0.1507  6 S 2.25-2.42
15 V 0.0000 0.0000 0.6507  6 S 2.25-2.42
16 S 0.6918 0.6918 0.6685  1 Fe 2.25, 2 V 2.34-2.42
17 V 0.5000 0.5000 0.8493  6 S 2.25-2.42
18 S 0.3082 0.3082 0.3315  1 Fe 2.25, 2 V 2.34-2.42

---

[25]
BaP2RuO | PBE-GGA | optimized geometry

Properties
- Energy relative to the elements, uncorrected: -422 meV/atom

a = 4.4677 Å, b = 4.4677 Å, c = 5.0333 Å
α = 90.00°, β = 90.00°, γ = 90.00°
Closest atoms and distances in Å follow each position.
Element x y z (fractional)
1 Ba 0.5000 0.5000 0.5000  4 O 3.16, 8 P 3.37
2 P 0.5000 0.0000 0.0000  2 Ru 2.23
3 Ru 0.0000 0.0000 0.0000  4 P 2.23
4 O 0.0000 0.0000 0.5000  2 Ru 2.52
5 P 0.0000 0.5000 0.0000  2 Ru 2.23